This record from the Alexandria database describes a relaxed structure of Fe3PtF. The functional is PBE with a Hubbard U.

Calculated values
offset from the most stable computed form: 0.000 eV/atom
total DFT energy (no corrections): -4.78 eV/atom
space-group type: Pm-3m (221)

Cell lengths 4.155, 4.155, 4.155 Å; angles 90.00, 90.00, 90.00 degrees
Each line ends with the local moment (μB).
Atoms (fractional coordinates):
Fe1 0.000 0.500 0.000  3.69
Fe2 0.000 0.000 0.500  3.54
F1 0.000 0.000 0.000  0.09
Pt1 0.500 0.500 0.500  0.12
Fe3 0.500 0.000 0.000  3.53